1.
Below is a relaxed structure of PuSc2UC4, with properties calculated at the PBE level.

Cell: 3.4651 5.9084 5.9548 Å, 69.90 90.00 90.00°
Closest atoms and distances in Å follow each position.
Positions (direct):
C: 0.5000 0.2601 0.7495  1 U 2.38, 2 Pu 2.40, 3 Sc 2.45-2.48
U: 0.5000 0.5000 0.0000  6 C 2.37-2.38
Pu: 0.0000 0.5000 0.5000  6 C 2.40-2.45
C: 0.0000 0.2602 0.2361  2 U 2.37, 3 Sc 2.41-2.48, 1 Pu 2.45
Sc: 0.5000 0.0000 0.5000  6 C 2.48
Sc: 0.0000 0.0000 0.0000  6 C 2.41-2.45
C: 0.5000 0.7399 0.2505  1 U 2.38, 2 Pu 2.40, 3 Sc 2.45-2.48
C: 0.0000 0.7398 0.7639  2 U 2.37, 3 Sc 2.41-2.48, 1 Pu 2.45

Properties
**DFT total energy**: -77.0 eV per cell
**Space group**: No. 10
**M_tot**: 3.89 μB per formula unit
**ΔH_f (0 K)**: -233 meV/atom

***

2.
Below is a relaxed structure of NaCdHPd2, with properties calculated at the PBE level.

Cell: 4.0974 4.0974 4.2899 Å, 90.00 90.00 90.00°
Closest atoms and distances in Å follow each position.
Positions (direct):
Pd: 0.5000 0.0000 0.0000  2 H 2.05
Pd: 0.0000 0.5000 0.0000  2 H 2.05
Cd: 0.5000 0.5000 0.5000  4 Na 2.90, 8 Pd 2.97
Na: 0.0000 0.0000 0.5000  2 H 2.14
H: 0.0000 0.0000 0.0000  4 Pd 2.05, 2 Na 2.14

Properties
**DFT total energy**: -17.2 eV per cell
**Space group**: No. 123
**M_tot**: 0.00 μB per formula unit
**Energy relative to the lowest polymorph listed for this composition**: 0.000 eV/atom